## PPtICl2 (PBE)

Data for a relaxed PPtICl2 crystal.

Cell: 5.196 5.196 5.455 Å, 90.00 90.00 90.00°
Space group P4/mmm (No. 123)
Asymmetric unit:
P 0.000 0.000 0.000 (multiplicity 1)
Pt 0.500 0.500 0.000 (multiplicity 1)
I 0.000 0.000 0.500 (multiplicity 1)
Cl 0.000 0.500 0.500 (multiplicity 2)

Results
* excess energy over the best structure of this formula in the dataset: 5.51 eV per formula unit
* ΔE_f (raw): 1338 meV/atom



## RbPICl2 (PBE)

Data for a relaxed RbPICl2 crystal.

Cell: 5.947 5.947 8.371 Å, 90.00 90.00 90.00°
Space group P4/mmm (No. 123)
Asymmetric unit:
Rb 0.000 0.000 0.000 (multiplicity 1)
P 0.000 0.000 0.500 (multiplicity 1)
I 0.500 0.500 0.500 (multiplicity 1)
Cl 0.000 0.500 0.000 (multiplicity 2)

Results
* excess energy over the best structure of this formula in the dataset: 3.05 eV per formula unit
* ΔE_f (raw): 404 meV/atom



## RbP2ICl (PBE)

Data for a relaxed RbP2ICl crystal.

Cell: 5.089 5.089 7.191 Å, 90.00 90.00 90.00°
Space group P4/mmm (No. 123)
Asymmetric unit:
Rb 0.000 0.000 0.000 (multiplicity 1)
P 0.000 0.500 0.500 (multiplicity 2)
I 0.500 0.500 0.500 (multiplicity 1)
Cl 0.500 0.500 0.000 (multiplicity 1)

Results
* excess energy over the best structure of this formula in the dataset: 0.00 eV per formula unit
* ΔE_f (raw): 376 meV/atom



## RbPICl2 (PBE)

Data for a relaxed RbPICl2 crystal.

Cell: 6.119 6.119 4.990 Å, 90.00 90.00 90.00°
Space group P4/mmm (No. 123)
Asymmetric unit:
Rb 0.000 0.000 0.000 (multiplicity 1)
P 0.500 0.500 0.000 (multiplicity 1)
I 0.500 0.500 0.500 (multiplicity 1)
Cl 0.000 0.500 0.500 (multiplicity 2)

Results
* excess energy over the best structure of this formula in the dataset: 0.00 eV per formula unit
* ΔE_f (raw): -205 meV/atom



## Rb2PI2Cl4 (PBE)

Data for a relaxed Rb2PI2Cl4 crystal.

Cell: 7.783 7.783 9.849 Å, 90.00 90.00 90.00°
Space group I4/mmm (No. 139)
Asymmetric unit:
Rb 0.000 0.500 0.250 (multiplicity 4)
P 0.000 0.000 0.000 (multiplicity 2)
I 0.000 0.000 0.274 (multiplicity 4)
Cl 0.211 0.211 0.000 (multiplicity 8)

Results
* ΔE_f (raw): -984 meV/atom



## RbP2ICl (PBE)

Data for a relaxed RbP2ICl crystal.

Cell: 7.197 7.197 5.935 Å, 90.00 90.00 90.00°
Space group P4/mmm (No. 123)
Asymmetric unit:
Rb 0.000 0.000 0.000 (multiplicity 1)
P 0.000 0.500 0.000 (multiplicity 2)
I 0.500 0.500 0.500 (multiplicity 1)
Cl 0.000 0.000 0.500 (multiplicity 1)

Results
* excess energy over the best structure of this formula in the dataset: 3.13 eV per formula unit
* ΔE_f (raw): 1001 meV/atom



## ReP2ICl (PBE)

Data for a relaxed ReP2ICl crystal.

Cell: 5.204 5.204 5.154 Å, 90.00 90.00 90.00°
Space group P4/mmm (No. 123)
Asymmetric unit:
Re 0.000 0.000 0.000 (multiplicity 1)
P 0.000 0.500 0.500 (multiplicity 2)
I 0.500 0.500 0.500 (multiplicity 1)
Cl 0.500 0.500 0.000 (multiplicity 1)

Results
* excess energy over the best structure of this formula in the dataset: 8.71 eV per formula unit
* ΔE_f (raw): 2118 meV/atom



## RePICl2 (PBE)

Data for a relaxed RePICl2 crystal.

Cell: 4.784 4.784 4.806 Å, 90.00 90.00 90.00°
Space group P4/mmm (No. 123)
Asymmetric unit:
Re 0.000 0.000 0.000 (multiplicity 1)
P 0.000 0.000 0.500 (multiplicity 1)
I 0.500 0.500 0.500 (multiplicity 1)
Cl 0.000 0.500 0.000 (multiplicity 2)

Results
* excess energy over the best structure of this formula in the dataset: 0.00 eV per formula unit
* ΔE_f (raw): 327 meV/atom